18
Lattice="5.611 0.000 0.000 0.000 6.826 0.000 0.000 0.000 6.826" Properties=species:S:1:pos:R:3 comment="NaPr2CoO5 PBE+U optimized geometry" e_tot_ev_per_atom=-6.84 sg=P4/mbm pbc="T T T"
Na 0.000 3.413 3.413
Na 0.000 0.000 0.000
Pr 2.806 4.627 1.213
Pr 2.806 1.213 2.200
Pr 2.806 5.613 4.627
Pr 2.806 2.200 5.613
Co 0.000 0.000 3.413
Co 0.000 3.413 0.000
O 2.806 3.413 3.413
O 2.806 0.000 0.000
O 1.323 0.895 4.309
O 1.323 5.931 2.518
O 1.323 2.518 0.895
O 1.323 4.309 5.931
O 4.288 0.895 4.309
O 4.288 4.309 5.931
O 4.288 5.931 2.518
O 4.288 2.518 0.895